A plane-wave DFT calculation with PBE with a Hubbard U was carried out for crystalline SrMnTl2F6 at its relaxed geometry.

Unit cell a=6.2614 b=6.6372 c=9.0580 alpha=90.00 beta=90.00 gamma=90.00
Fractional coordinates of all 20 atoms:
F1 0.0000 0.7922 0.2384
F2 0.5000 0.2078 0.7384
F3 0.2513 0.4496 0.5000
F4 0.7502 0.0058 0.5000
F5 0.2498 0.0058 0.5000
F6 0.7487 0.4496 0.5000
F7 0.2487 0.5504 0.0000
F8 0.5000 0.2078 0.2616
F9 0.0000 0.7922 0.7616
F10 0.7513 0.5504 0.0000
F11 0.7498 0.9942 0.0000
F12 0.2502 0.9942 0.0000
Sr1 0.0000 0.7203 0.5000
Sr2 0.5000 0.2797 0.0000
Tl1 0.0000 0.2040 0.7228
Tl2 0.0000 0.2040 0.2772
Tl3 0.5000 0.7960 0.7772
Tl4 0.5000 0.7960 0.2228
Mn1 0.5000 0.2338 0.5000
Mn2 0.0000 0.7662 0.0000

Calculated values
DFT total energy (eV for the cell shown): -103.72
Symmetry: No. 59